1.
! UNbW, optimized geometry, DFT PBE; values from VASP
! Excess energy over the best structure of this formula in the dataset = 0.00 eV/f.u.
! VASP energy = -33.5 eV/cell
! Formation energy from the elements = 0.27 eV/atom
! Space group = No. 156
! DOS(E_F) = 1.5782 states/eV per atom
! Calculated density = 15.53 g/cm3
&SYSTEM
  ibrav = 0, nat = 3, ntyp = 3
/
ATOMIC_SPECIES
U 238.03 U.upf
Nb 92.91 Nb.upf
W 183.84 W.upf
CELL_PARAMETERS angstrom
4.687 0.000 0.000
-2.343 4.059 0.000
0.000 0.000 2.893
ATOMIC_POSITIONS crystal
U 0.000 0.000 0.000
Nb 0.333 0.667 0.277
W 0.667 0.333 0.675

=====

2.
! ThTlPt, optimized geometry, DFT PBE; values from VASP
! VASP energy = -71.1 eV/cell
! Formation energy from the elements = -0.65 eV/atom
! Space group = No. 12
! DOS(E_F) = 0.5756 states/eV per atom
! Calculated density = 12.44 g/cm3
&SYSTEM
  ibrav = 0, nat = 12, ntyp = 3
/
ATOMIC_SPECIES
Th 232.04 Th.upf
Tl 204.38 Tl.upf
Pt 195.08 Pt.upf
CELL_PARAMETERS angstrom
8.680 0.000 0.000
0.000 4.989 0.000
-2.867 0.000 7.783
ATOMIC_POSITIONS crystal
Th 0.112 0.000 0.337
Th 0.388 0.500 0.663
Th 0.612 0.500 0.337
Th 0.888 0.000 0.663
Tl 0.133 0.500 0.900
Tl 0.367 0.000 0.100
Tl 0.633 0.000 0.900
Tl 0.867 0.500 0.100
Pt 0.235 0.000 0.709
Pt 0.265 0.500 0.291
Pt 0.735 0.500 0.709
Pt 0.765 0.000 0.291

=====

3.
! FeIrCl2, optimized geometry, DFT PBE; values from VASP
! Excess energy over the best structure of this formula in the dataset = 5.07 eV/f.u.
! Formation energy without anion corrections = 1.1965 eV per atom
! VASP energy = -64.9 eV/cell
! Space group = No. 225
! DOS(E_F) = 2.6560 states/eV per atom
! Calculated density = 9.15 g/cm3
&SYSTEM
  ibrav = 0, nat = 16, ntyp = 3
/
ATOMIC_SPECIES
Fe 55.84 Fe.upf
Ir 192.22 Ir.upf
Cl 35.45 Cl.upf
CELL_PARAMETERS angstrom
6.141 0.000 0.000
0.000 6.141 0.000
0.000 0.000 6.141
ATOMIC_POSITIONS crystal
Fe 0.000 0.000 0.000
Fe 0.000 0.500 0.500
Fe 0.500 0.000 0.500
Fe 0.500 0.500 0.000
Ir 0.000 0.000 0.500
Ir 0.000 0.500 0.000
Ir 0.500 0.000 0.000
Ir 0.500 0.500 0.500
Cl 0.250 0.250 0.250
Cl 0.250 0.250 0.750
Cl 0.250 0.750 0.250
Cl 0.250 0.750 0.750
Cl 0.750 0.250 0.250
Cl 0.750 0.250 0.750
Cl 0.750 0.750 0.250
Cl 0.750 0.750 0.750

=====

4.
! K2Sr2ReO6, optimized geometry, DFT PBE; values from VASP
! Formation energy without anion corrections = -2.0548 eV per atom
! VASP energy = -70.4 eV/cell
! Space group = No. 12
! DOS(E_F) = 0.5574 states/eV per atom
! Calculated density = 4.42 g/cm3
&SYSTEM
  ibrav = 0, nat = 11, ntyp = 4
/
ATOMIC_SPECIES
K 39.10 K.upf
Sr 87.62 Sr.upf
Re 186.21 Re.upf
O 16.00 O.upf
CELL_PARAMETERS angstrom
3.086 -5.170 0.000
3.086 5.170 0.000
-1.792 0.000 6.309
ATOMIC_POSITIONS crystal
K 0.159 0.841 0.000
K 0.841 0.159 0.000
Sr 0.338 0.662 0.500
Sr 0.662 0.338 0.500
Re 0.000 0.000 0.500
O 0.047 0.320 0.673
O 0.210 0.210 0.319
O 0.320 0.047 0.673
O 0.680 0.953 0.327
O 0.790 0.790 0.681
O 0.953 0.680 0.327

=====

5.
! InSnC3, optimized geometry, DFT PBE; values from VASP
! Excess energy over the best structure of this formula in the dataset = 0.00 eV/f.u.
! VASP energy = -20.6 eV/cell
! Formation energy from the elements = 2.76 eV/atom
! Space group = No. 221
! DOS(E_F) = 0.9394 states/eV per atom
! Calculated density = 5.47 g/cm3
&SYSTEM
  ibrav = 0, nat = 5, ntyp = 3
/
ATOMIC_SPECIES
In 114.82 In.upf
Sn 118.71 Sn.upf
C 12.01 C.upf
CELL_PARAMETERS angstrom
4.341 0.000 0.000
0.000 4.341 0.000
0.000 0.000 4.341
ATOMIC_POSITIONS crystal
In 0.000 0.000 0.000
Sn 0.500 0.500 0.500
C 0.000 0.500 0.500
C 0.500 0.000 0.500
C 0.500 0.500 0.000

=====

6.
! Pm4HoEr5, optimized geometry, DFT PBE; values from VASP
! Excess energy over the best structure of this formula in the dataset = 0.00 eV/f.u.
! VASP energy = -46.2 eV/cell
! Formation energy from the elements = 0.02 eV/atom
! Space group = No. 12
! DOS(E_F) = 1.2387 states/eV per atom
! Calculated density = 8.22 g/cm3
&SYSTEM
  ibrav = 0, nat = 10, ntyp = 3
/
ATOMIC_SPECIES
Pm 145.00 Pm.upf
Ho 164.93 Ho.upf
Er 167.26 Er.upf
CELL_PARAMETERS angstrom
9.245 -1.783 0.000
9.245 1.783 0.000
-2.809 0.000 9.690
ATOMIC_POSITIONS crystal
Pm 0.099 0.099 0.302
Pm 0.300 0.300 0.900
Pm 0.700 0.700 0.100
Pm 0.901 0.901 0.698
Ho 0.500 0.500 0.000
Er 0.100 0.100 0.798
Er 0.301 0.301 0.400
Er 0.500 0.500 0.500
Er 0.699 0.699 0.600
Er 0.900 0.900 0.202